<1>
Li3CuPb: single point on PBEsol structure, meta-GGA SCAN.

```
Li3CuPb
1.0
5.044 0.000 0.000
0.000 5.044 0.000
0.000 0.000 5.044
Li Cu Pb
3 1 1
direct
0.500 0.000 0.000 Li
0.000 0.500 0.000 Li
0.000 0.000 0.500 Li
0.500 0.500 0.500 Cu
0.000 0.000 0.000 Pb
```

For the density, the calculation gives 3.8 g/cm³. The magnetic moment is 0.003 μB/cell.

=====

<2>
Li3CuPb: single point on PBEsol structure, meta-GGA SCAN.

```
Li3CuPb
1.0
4.564 0.000 0.000
0.000 4.564 0.000
0.000 0.000 4.564
Li Cu Pb
3 1 1
direct
0.500 0.000 0.000 Li
0.000 0.000 0.500 Li
0.000 0.500 0.000 Li
0.000 0.000 0.000 Cu
0.500 0.500 0.500 Pb
```

For the density, the calculation gives 5.1 g/cm³. The magnetic moment is 0.000 μB/cell.

=====

The energetic minimum among the shown structures is <2>; the next structure lies 0.449 eV/atom above.